Record 1
DFT (GGA-PBE) results for crystalline TlSb5W3 at its relaxed geometry.

Cell lengths 5.592, 5.592, 8.549 Å; angles 90.00, 90.00, 120.00 degrees
Element x y z (fractional)
Tl1 0.000 0.000 0.000
Sb1 0.000 0.000 0.500
Sb2 0.333 0.667 0.220
Sb3 0.333 0.667 0.780
Sb4 0.667 0.333 0.220
Sb5 0.667 0.333 0.780
W1 0.000 0.500 0.500
W2 0.500 0.000 0.500
W3 0.500 0.500 0.500

Properties
M_tot in μB/f.u.: 0.00
Crystal system: hexagonal
E_tot in eV per atom: -6.581
Space group: No. 191

***

Record 2
DFT (GGA-PBE) results for crystalline RbLiUS3 at its relaxed geometry.

Cell lengths 7.462, 7.462, 10.516 Å; angles 90.00, 90.00, 148.30 degrees
Element x y z (fractional)
Rb1 0.238 0.762 0.750
Rb2 0.762 0.238 0.250
Li1 0.041 0.959 0.250
Li2 0.959 0.041 0.750
U1 0.500 0.500 0.000
U2 0.500 0.500 0.500
S1 0.119 0.881 0.049
S2 0.119 0.881 0.451
S3 0.452 0.548 0.250
S4 0.548 0.452 0.750
S5 0.881 0.119 0.549
S6 0.881 0.119 0.951

Properties
M_tot in μB/f.u.: 2.00
Crystal system: orthorhombic
E_tot in eV per atom: -5.843
Space group: No. 63

***

Record 3
DFT (GGA-PBE) results for crystalline DyHo2Lu3Bi2Os at its relaxed geometry.

Cell lengths 4.230, 8.169, 8.169 Å; angles 119.98, 90.00, 90.00 degrees
Element x y z (fractional)
Dy1 0.000 0.000 0.000
Ho1 0.000 0.228 0.614
Ho2 0.000 0.614 0.228
Lu1 0.500 0.383 0.383
Lu2 0.500 0.614 0.844
Lu3 0.500 0.844 0.614
Bi1 0.500 0.281 0.947
Bi2 0.500 0.947 0.281
Os1 0.000 0.612 0.612

Properties
M_tot in μB/f.u.: 0.02
Crystal system: orthorhombic
E_tot in eV per atom: -5.769
Space group: No. 38

***

Record 4
DFT (GGA-PBE) results for crystalline Ho2ErMg3Al2Zn at its relaxed geometry.

Cell lengths 4.443, 7.323, 7.323 Å; angles 119.90, 90.00, 90.00 degrees
Element x y z (fractional)
Ho1 0.000 0.210 0.790
Ho2 0.000 0.790 0.210
Er1 0.000 0.631 0.631
Mg1 0.500 0.211 0.452
Mg2 0.500 0.452 0.211
Mg3 0.500 0.970 0.970
Al1 0.500 0.544 0.877
Al2 0.500 0.877 0.544
Zn1 0.000 0.212 0.212

Properties
M_tot in μB/f.u.: 0.00
Crystal system: orthorhombic
E_tot in eV per atom: -3.324
Space group: No. 38